(1)
A plane-wave DFT calculation with PBE-GGA was carried out for Pr3MgMn2N6 after structural relaxation. Values from VASP.

Geometry as Quantum ESPRESSO input:
```
&SYSTEM
  ibrav = 0, nat = 12, ntyp = 4
/
ATOMIC_SPECIES
Pr 140.91 Pr.upf
Mg 24.30 Mg.upf
Mn 54.94 Mn.upf
N 14.01 N.upf
CELL_PARAMETERS angstrom
5.665 0.000 0.000
-2.833 4.906 0.000
0.000 0.000 6.492
ATOMIC_POSITIONS angstrom
Pr 0.000 0.000 0.000
Pr 0.000 3.271 4.299
Pr 2.833 1.635 2.193
Mg 0.000 0.000 3.246
Mn 0.000 3.271 1.312
Mn 2.833 1.635 5.180
N 0.000 1.667 1.914
N -1.389 4.073 1.914
N 1.443 0.833 4.578
N 1.389 4.073 1.914
N 4.222 0.833 4.578
N 2.833 3.240 4.578
```

Calculated values
ρ = 5.90 g/cm³

(2)
A plane-wave DFT calculation with PBE-GGA was carried out for Mg2MnReN4 after structural relaxation. Values from VASP.

Geometry as Quantum ESPRESSO input:
```
&SYSTEM
  ibrav = 0, nat = 8, ntyp = 4
/
ATOMIC_SPECIES
Mg 24.30 Mg.upf
Mn 54.94 Mn.upf
Re 186.21 Re.upf
N 14.01 N.upf
CELL_PARAMETERS angstrom
-2.318 2.318 4.766
2.318 -2.318 4.766
2.318 2.318 -4.766
ATOMIC_POSITIONS angstrom
Mg 2.318 0.000 2.383
Mg 0.000 2.318 2.383
Mn 0.000 0.000 0.000
Re 0.000 0.000 4.766
N 1.078 -1.078 3.673
N 1.240 1.240 1.093
N -1.078 1.078 3.673
N 1.078 1.078 5.859
```

Calculated values
ρ = 5.61 g/cm³

(3)
A plane-wave DFT calculation with PBE-GGA was carried out for MgMnRh2N after structural relaxation. Values from VASP.

Geometry as Quantum ESPRESSO input:
```
&SYSTEM
  ibrav = 0, nat = 5, ntyp = 4
/
ATOMIC_SPECIES
Mg 24.30 Mg.upf
Mn 54.94 Mn.upf
Rh 102.91 Rh.upf
N 14.01 N.upf
CELL_PARAMETERS angstrom
4.177 0.000 0.000
0.000 4.177 0.000
0.000 0.000 3.787
ATOMIC_POSITIONS angstrom
Mg 0.000 0.000 0.000
Mn 2.088 2.088 0.000
Rh 0.000 2.088 1.893
Rh 2.088 0.000 1.893
N 2.088 2.088 1.893
```

Calculated values
ρ = 7.52 g/cm³

(4)
A plane-wave DFT calculation with PBE-GGA was carried out for MgMn2RuN after structural relaxation. Values from VASP.

Geometry as Quantum ESPRESSO input:
```
&SYSTEM
  ibrav = 0, nat = 5, ntyp = 4
/
ATOMIC_SPECIES
Mg 24.30 Mg.upf
Mn 54.94 Mn.upf
Ru 101.07 Ru.upf
N 14.01 N.upf
CELL_PARAMETERS angstrom
3.840 0.000 0.000
0.000 3.840 0.000
0.000 0.000 4.099
ATOMIC_POSITIONS angstrom
Mg 0.000 0.000 0.000
Mn 0.000 1.920 2.050
Mn 1.920 0.000 2.050
Ru 1.920 1.920 0.000
N 1.920 1.920 2.050
```

Calculated values
ρ = 6.85 g/cm³

(5)
A plane-wave DFT calculation with PBE-GGA was carried out for MgMnSN2 after structural relaxation. Values from VASP.

Geometry as Quantum ESPRESSO input:
```
&SYSTEM
  ibrav = 0, nat = 5, ntyp = 4
/
ATOMIC_SPECIES
Mg 24.30 Mg.upf
Mn 54.94 Mn.upf
S 32.06 S.upf
N 14.01 N.upf
CELL_PARAMETERS angstrom
3.587 0.000 0.000
0.000 3.587 0.000
0.000 0.000 5.133
ATOMIC_POSITIONS angstrom
Mg 0.000 0.000 0.000
Mn 1.794 1.794 2.567
S 1.794 1.794 0.000
N 0.000 1.794 2.567
N 1.794 0.000 2.567
```

Calculated values
ρ = 3.50 g/cm³

(6)
A plane-wave DFT calculation with PBE-GGA was carried out for MgMnSN2 after structural relaxation. Values from VASP.

Geometry as Quantum ESPRESSO input:
```
&SYSTEM
  ibrav = 0, nat = 5, ntyp = 4
/
ATOMIC_SPECIES
Mg 24.30 Mg.upf
Mn 54.94 Mn.upf
S 32.06 S.upf
N 14.01 N.upf
CELL_PARAMETERS angstrom
3.967 0.000 0.000
0.000 3.967 0.000
0.000 0.000 5.046
ATOMIC_POSITIONS angstrom
Mg 0.000 0.000 0.000
Mn 1.983 1.983 2.523
S 0.000 0.000 2.523
N 0.000 1.983 0.000
N 1.983 0.000 0.000
```

Calculated values
ρ = 2.91 g/cm³

(7)
A plane-wave DFT calculation with PBE-GGA was carried out for Mg2MnSbN after structural relaxation. Values from VASP.

Geometry as Quantum ESPRESSO input:
```
&SYSTEM
  ibrav = 0, nat = 5, ntyp = 4
/
ATOMIC_SPECIES
Mg 24.30 Mg.upf
Mn 54.94 Mn.upf
Sb 121.76 Sb.upf
N 14.01 N.upf
CELL_PARAMETERS angstrom
4.376 0.000 0.000
0.000 4.376 0.000
0.000 0.000 4.262
ATOMIC_POSITIONS angstrom
Mg 0.000 2.188 0.000
Mg 2.188 0.000 0.000
Mn 0.000 0.000 2.131
Sb 2.188 2.188 2.131
N 0.000 0.000 0.000
```

Calculated values
ρ = 4.87 g/cm³

(8)
A plane-wave DFT calculation with PBE-GGA was carried out for MgScMn2N after structural relaxation. Values from VASP.

Geometry as Quantum ESPRESSO input:
```
&SYSTEM
  ibrav = 0, nat = 5, ntyp = 4
/
ATOMIC_SPECIES
Mg 24.30 Mg.upf
Sc 44.96 Sc.upf
Mn 54.94 Mn.upf
N 14.01 N.upf
CELL_PARAMETERS angstrom
4.565 0.000 0.000
0.000 4.565 0.000
0.000 0.000 4.105
ATOMIC_POSITIONS angstrom
Mg 0.000 0.000 0.000
Sc 2.283 2.283 2.052
Mn 0.000 2.283 2.052
Mn 2.283 0.000 2.052
N 2.283 2.283 0.000
```

Calculated values
ρ = 3.75 g/cm³

M_tot list, top to bottom, in Bohr magnetons per cell: 3.2, 4.0, 2.8, 3.5, 0.0, 1.4, 4.6, 0.3
E_form (uncorrected) list, top to bottom, in eV per formula unit: -9.024, -3.377, -1.136, -0.617, 0.168, 5.645, -1.764, 7.729